Here is a relaxed VOF3 crystal from the Alexandria database. Energies are from PBE+U.

The structure in extended XYZ format:
```
20
Lattice="7.357 0.000 0.000 0.000 5.226 0.000 0.000 0.000 8.896" Properties=species:S:1:pos:R:3 pbc="T T T"
V 0.151 0.143 0.000
V 3.528 0.143 4.448
V 3.829 5.083 0.000
V 7.206 5.083 4.448
O 0.351 0.787 7.449
O 3.327 0.787 3.001
O 4.029 4.439 7.449
O 7.006 4.439 3.001
F 0.411 1.528 4.290
F 0.526 1.337 1.247
F 1.744 4.616 4.718
F 1.934 4.616 0.271
F 3.152 1.337 5.695
F 3.267 1.528 8.738
F 4.089 3.698 4.290
F 4.204 3.889 1.247
F 5.423 0.610 4.718
F 5.612 0.610 0.271
F 6.831 3.889 5.695
F 6.946 3.698 8.738
```

The space group is No. 29. The calculated total energy comes out at -118.00 eV per cell. As for the density of states at the Fermi level: 0.000 states/eV per atom.